(1)
# PBE HfFeRu2C, relaxed
# DFT total energy (eV/atom): -9.556
# Crystal system: tetragonal
# Fermi-level density of states (states/eV per atom): 0.393
# Formation energy (meV per atom): -317.9
data_HfFeRu2C
_space_group_name_H-M_alt 'P 1'
_space_group_IT_number 1
_cell_length_a 4.0794
_cell_length_b 4.0794
_cell_length_c 3.8678
_cell_angle_alpha 90.00
_cell_angle_beta 90.00
_cell_angle_gamma 90.00
loop_
_space_group_symop_operation_xyz
'x,y,z'
loop_
_atom_site_label
_atom_site_type_symbol
_atom_site_fract_x
_atom_site_fract_y
_atom_site_fract_z
Hf1 Hf 0.0000 0.0000 0.0000
Fe1 Fe 0.5000 0.5000 0.0000
Ru1 Ru 0.0000 0.5000 0.5000
Ru2 Ru 0.5000 0.0000 0.5000
C1 C 0.5000 0.5000 0.5000



(2)
# PBE Hf2FeC2S, relaxed
# DFT total energy (eV/atom): -9.148
# Crystal system: hexagonal
# Fermi-level density of states (states/eV per atom): 0.334
data_Hf2FeC2S
_space_group_name_H-M_alt 'P 1'
_space_group_IT_number 1
_cell_length_a 3.3708
_cell_length_b 3.3708
_cell_length_c 7.5793
_cell_angle_alpha 90.00
_cell_angle_beta 90.00
_cell_angle_gamma 120.00
loop_
_space_group_symop_operation_xyz
'x,y,z'
loop_
_atom_site_label
_atom_site_type_symbol
_atom_site_fract_x
_atom_site_fract_y
_atom_site_fract_z
Hf1 Hf 0.0000 0.0000 0.2333
Hf2 Hf 0.0000 0.0000 0.7667
Fe1 Fe 0.3333 0.6667 0.5000
C1 C 0.6667 0.3333 0.3993
C2 C 0.6667 0.3333 0.6007
S1 S 0.3333 0.6667 0.0000



(3)
# PBE HfTaFeC2, relaxed
# DFT total energy (eV/atom): -8.116
# Crystal system: tetragonal
# Fermi-level density of states (states/eV per atom): 1.516
# Formation energy (meV per atom): 1627.7
data_HfTaFeC2
_space_group_name_H-M_alt 'P 1'
_space_group_IT_number 1
_cell_length_a 3.8599
_cell_length_b 3.8599
_cell_length_c 4.6851
_cell_angle_alpha 90.00
_cell_angle_beta 90.00
_cell_angle_gamma 90.00
loop_
_space_group_symop_operation_xyz
'x,y,z'
loop_
_atom_site_label
_atom_site_type_symbol
_atom_site_fract_x
_atom_site_fract_y
_atom_site_fract_z
Hf1 Hf 0.0000 0.0000 0.0000
Ta1 Ta 0.5000 0.5000 0.0000
Fe1 Fe 0.0000 0.0000 0.5000
C1 C 0.0000 0.5000 0.5000
C2 C 0.5000 0.0000 0.5000



(4)
# PBE HfFe2TcC, relaxed
# DFT total energy (eV/atom): -9.515
# Crystal system: tetragonal
# Fermi-level density of states (states/eV per atom): 1.108
# Formation energy (meV per atom): -220.9
data_HfFe2TcC
_space_group_name_H-M_alt 'P 1'
_space_group_IT_number 1
_cell_length_a 3.8639
_cell_length_b 3.8639
_cell_length_c 4.0994
_cell_angle_alpha 90.00
_cell_angle_beta 90.00
_cell_angle_gamma 90.00
loop_
_space_group_symop_operation_xyz
'x,y,z'
loop_
_atom_site_label
_atom_site_type_symbol
_atom_site_fract_x
_atom_site_fract_y
_atom_site_fract_z
Hf1 Hf 0.0000 0.0000 0.0000
Fe1 Fe 0.0000 0.5000 0.5000
Fe2 Fe 0.5000 0.0000 0.5000
Tc1 Tc 0.5000 0.5000 0.0000
C1 C 0.5000 0.5000 0.5000



(5)
# PBE HfFeTc2C, relaxed
# DFT total energy (eV/atom): -9.902
# Crystal system: tetragonal
# Fermi-level density of states (states/eV per atom): 0.929
# Formation energy (meV per atom): -227.8
data_HfFeTc2C
_space_group_name_H-M_alt 'P 1'
_space_group_IT_number 1
_cell_length_a 4.1752
_cell_length_b 4.1752
_cell_length_c 3.8130
_cell_angle_alpha 90.00
_cell_angle_beta 90.00
_cell_angle_gamma 90.00
loop_
_space_group_symop_operation_xyz
'x,y,z'
loop_
_atom_site_label
_atom_site_type_symbol
_atom_site_fract_x
_atom_site_fract_y
_atom_site_fract_z
Hf1 Hf 0.0000 0.0000 0.0000
Fe1 Fe 0.5000 0.5000 0.0000
Tc1 Tc 0.0000 0.5000 0.5000
Tc2 Tc 0.5000 0.0000 0.5000
C1 C 0.5000 0.5000 0.5000



(6)
# PBE Hf2FeWC, relaxed
# DFT total energy (eV/atom): -9.287
# Crystal system: tetragonal
# Fermi-level density of states (states/eV per atom): 1.164
# Formation energy (meV per atom): 822.4
data_Hf2FeWC
_space_group_name_H-M_alt 'P 1'
_space_group_IT_number 1
_cell_length_a 4.8608
_cell_length_b 4.8608
_cell_length_c 3.5414
_cell_angle_alpha 90.00
_cell_angle_beta 90.00
_cell_angle_gamma 90.00
loop_
_space_group_symop_operation_xyz
'x,y,z'
loop_
_atom_site_label
_atom_site_type_symbol
_atom_site_fract_x
_atom_site_fract_y
_atom_site_fract_z
Hf1 Hf 0.0000 0.5000 0.0000
Hf2 Hf 0.5000 0.0000 0.0000
Fe1 Fe 0.0000 0.0000 0.0000
W1 W 0.5000 0.5000 0.5000
C1 C 0.0000 0.0000 0.5000